Material: AlCdAu4
Method: DFT, GGA-PBE
State: optimized geometry

The space group is F-43m (No. 216) and the conventional cell measures 7.8207, 7.8207 and 7.8207 Å, with angles of 90.00, 90.00 and 90.00 degrees. The distinct sites, in fractional coordinates, are Al at (0.0000, 0.0000, 0.0000), Cd at (0.2500, 0.2500, 0.2500) and Au at (0.1250, 0.1250, 0.6250).

The energy comes out at -70.65 eV for the cell shown. For the calculated density, the calculation gives 12.88 g/cm³. The value obtained for the volume is 19.93 A^3/atom. The calculation puts the calculated formation energy at 0.017 eV/atom. The calculation puts the offset from the most stable computed form at 5.25 kcal/mol of atoms.